No. 1
Below is CsAl2Br8 after structural relaxation, with properties calculated at the GGA-PBE level.

- SG = C2/m
- D(E_F) (states/eV/atom) = 1.016
- ΔE_f (raw) (eV/f.u.) = -12.28

abc: 7.7296 7.8799 9.4101
angles: 108.11 90.00 119.37
With the nearest neighbours (Å) after each atom.
Element x y z (fractional)
1 Br 0.5927 0.1854 0.2112  1 Al 2.31
2 Br 0.1495 0.2990 0.4466  1 Al 2.31
3 Br 0.5844 0.6590 0.1977  1 Al 2.34
4 Br 0.4073 0.8146 0.7888  1 Al 2.31
5 Br 0.8505 0.7010 0.5534  1 Al 2.31
6 Cs 0.0000 0.0000 0.0000  10 Br 3.96-4.32
7 Br 0.9255 0.3410 0.8023  1 Al 2.34
8 Br 0.0745 0.6590 0.1977  1 Al 2.34
9 Al 0.7725 0.5449 0.2915  4 Br 2.31-2.34
10 Br 0.4156 0.3410 0.8023  1 Al 2.34
11 Al 0.2275 0.4551 0.7085  4 Br 2.31-2.34

---

No. 2
Below is CsAl3Br after structural relaxation, with properties calculated at the GGA-PBE level.

- SG = Pm-3m
- D(E_F) (states/eV/atom) = 1.147
- ΔE_f (raw) (eV/f.u.) = 7.02

abc: 6.5949 6.5949 6.5949
angles: 90.00 90.00 90.00
With the nearest neighbours (Å) after each atom.
Element x y z (fractional)
1 Cs 0.0000 0.0000 0.0000  6 Al 3.30
2 Al 0.0000 0.5000 0.0000  2 Cs 3.30
3 Al 0.5000 0.0000 0.0000  2 Cs 3.30
4 Br 0.5000 0.5000 0.5000  12 Al 4.66
5 Al 0.0000 0.0000 0.5000  2 Cs 3.30

---

No. 3
Below is Cs2AlBr after structural relaxation, with properties calculated at the GGA-PBE level.

- SG = I-42d
- D(E_F) (states/eV/atom) = 0.846
- ΔE_f (raw) (eV/f.u.) = -1.28

abc: 9.8357 9.8357 8.7073
angles: 55.61 55.61 90.00
With the nearest neighbours (Å) after each atom.
Element x y z (fractional)
1 Br 0.0000 0.0000 0.0000  4 Cs 3.49
2 Cs 0.8750 0.9120 0.7500  2 Br 3.49
3 Br 0.7500 0.2500 0.5000  4 Cs 3.49
4 Cs 0.3750 0.3380 0.7500  2 Br 3.49
5 Al 0.5000 0.5000 0.0000  4 Cs 3.97
6 Cs 0.0880 0.6250 0.2500  2 Br 3.49
7 Al 0.2500 0.7500 0.5000  4 Cs 3.97
8 Cs 0.6620 0.1250 0.2500  2 Br 3.49

---

No. 4
Below is Cs2AlCuBr6 after structural relaxation, with properties calculated at the GGA-PBE level.

- SG = P-3m1
- ΔE_f (raw) (eV/f.u.) = -12.05

abc: 6.4921 7.7136 7.7136
angles: 120.00 90.00 90.00
With the nearest neighbours (Å) after each atom.
Element x y z (fractional)
1 Cs 0.2435 0.3333 0.6667  12 Br 3.86-4.17
2 Cs 0.7565 0.6667 0.3333  12 Br 3.86-4.17
3 Br 0.7699 0.1538 0.8462  1 Al 2.54, 1 Cu 2.70
4 Br 0.7699 0.6924 0.8462  1 Al 2.54, 1 Cu 2.70
5 Al 0.0000 0.0000 0.0000  6 Br 2.54
6 Br 0.2301 0.8462 0.1538  1 Al 2.54, 1 Cu 2.70
7 Br 0.7699 0.1538 0.3076  1 Al 2.54, 1 Cu 2.70
8 Br 0.2301 0.8462 0.6924  1 Al 2.54, 1 Cu 2.70
9 Br 0.2301 0.3076 0.1538  1 Al 2.54, 1 Cu 2.70
10 Cu 0.5000 0.0000 0.0000  6 Br 2.70

---

Ordered volume results: 42.42, 57.37, 63.35, 33.45; unit Å³ per atom.